Run w
The following is a PBE calculation of an optimized crystal structure of Pm2Pr6Hg, from Alexandria.

Lattice parameters (Å, degrees): 3.698 10.640 9.742 123.10 100.97 90.00
Fractional positions:
Pm 0.859 0.360 0.719
Pr 0.500 0.727 0.000
Pm 0.141 0.640 0.281
Pr 0.182 0.340 0.363
Pr 0.182 0.023 0.363
Pr 0.818 0.977 0.637
Pr 0.818 0.660 0.637
Hg 0.000 0.000 0.000
Pr 0.500 0.273 0.000

Computed properties:
Magnetization ... 0.00 μB/cell

Run x
The following is a PBE calculation of an optimized crystal structure of Pm2Pr6Hg, from Alexandria.

Lattice parameters (Å, degrees): 3.782 9.757 9.755 120.00 90.00 90.00
Fractional positions:
Pr 0.500 0.000 0.621
Pr 0.000 0.000 0.270
Pr 0.500 0.621 0.000
Pm 0.000 0.667 0.333
Hg 0.500 0.000 0.000
Pr 0.500 0.379 0.379
Pm 0.000 0.333 0.667
Pr 0.000 0.270 0.000
Pr 0.000 0.730 0.730

Computed properties:
Magnetization ... 0.00 μB/cell

The calculated energies rank the structures as follows, beginning with the most stable: run x, run w.